An optimized crystal structure of Sr2CrPbO6, computed with PBE+U.

Uncorrected energy = -6.35 eV per atom
M_tot = 3.9 Bohr magnetons per cell

Cell: 5.7231 5.8218 9.9049 Å, 90.00 125.04 90.00°
Space group P2_1/c (No. 14)
Symmetry-distinct sites (fractional):
Sr (0.2413, 0.0389, 0.2495) [4 per cell]
Cr (0.0000, 0.0000, 0.5000) [2 per cell]
Pb (0.5000, 0.0000, 0.0000) [2 per cell]
O (0.1566, 0.2206, 0.9561) [4 per cell]
O (0.2341, 0.6952, 0.9635) [4 per cell]
O (0.3075, 0.0213, 0.7323) [4 per cell]